Density functional theory data (PBE-GGA) for a relaxed Na3OsO5 crystal.

Cell: 5.6234 5.6234 13.6055 Å, 90.00 90.00 120.00°
Positions (direct):
1 Na 0.9113 0.2947 0.9150
2 Na 0.7053 0.6166 0.2483
3 Na 0.0887 0.3834 0.4184
4 Na 0.3834 0.0887 0.5816
5 Na 0.7236 0.7236 0.5000
6 Na 0.6166 0.7053 0.7517
7 Na 0.2764 0.0000 0.8333
8 Na 0.0000 0.2764 0.1667
9 Na 0.2947 0.9113 0.0850
10 Os 0.3825 0.0000 0.3333
11 Os 0.0000 0.3825 0.6667
12 Os 0.6175 0.6175 0.0000
13 O 0.4838 0.8246 0.9355
14 O 0.0000 0.7004 0.6667
15 O 0.5162 0.3408 0.3978
16 O 0.6592 0.1754 0.7311
17 O 0.8420 0.1558 0.5608
18 O 0.1580 0.3138 0.7726
19 O 0.8246 0.4838 0.0645
20 O 0.8442 0.6862 0.8941
21 O 0.3138 0.1580 0.2274
22 O 0.1558 0.8420 0.4392
23 O 0.7004 0.0000 0.3333
24 O 0.1754 0.6592 0.2689
25 O 0.3408 0.5162 0.6022
26 O 0.2996 0.2996 0.0000
27 O 0.6862 0.8442 0.1059

Summary:
Space-group type: No. 152
Mass density (g cm⁻³): 4.54
Crystal system: trigonal
Size of the total moment (μB/f.u.): 1.033
Electronic total energy (eV per atom): -5.843

Density functional theory data (PBE-GGA) for a relaxed NaOsO3 crystal.

Cell: 3.7365 3.7365 11.7916 Å, 90.00 90.00 120.00°
Positions (direct):
1 Na 0.0000 0.0000 0.0000
2 Na 0.0000 0.0000 0.5000
3 Os 0.3333 0.6667 0.7500
4 Os 0.6667 0.3333 0.2500
5 O 0.0000 0.0000 0.2500
6 O 0.0000 0.0000 0.7500
7 O 0.3333 0.6667 0.8998
8 O 0.3333 0.6667 0.6002
9 O 0.6667 0.3333 0.3998
10 O 0.6667 0.3333 0.1002

Summary:
Space-group type: No. 194
Mass density (g cm⁻³): 6.08
Crystal system: hexagonal
Size of the total moment (μB/f.u.): 0.006
Electronic total energy (eV per atom): -6.369

Density functional theory data (PBE-GGA) for a relaxed NaOs2O7 crystal.

Cell: 3.7517 5.9078 5.9078 Å, 117.00 90.00 90.00°
Positions (direct):
1 Na 0.0000 0.0000 0.0000
2 Os 0.5000 0.6909 0.3091
3 Os 0.5000 0.3091 0.6909
4 O 0.0000 0.6925 0.3075
5 O 0.0000 0.3075 0.6925
6 O 0.5000 0.0379 0.3282
7 O 0.5000 0.9621 0.6718
8 O 0.5000 0.3282 0.0379
9 O 0.5000 0.6718 0.9621
10 O 0.5000 0.5000 0.5000

Summary:
Space-group type: No. 65
Mass density (g cm⁻³): 7.34
Crystal system: orthorhombic
Size of the total moment (μB/f.u.): 0.000
Electronic total energy (eV per atom): -6.844

Density functional theory data (PBE-GGA) for a relaxed Na3OsO6 crystal.

Cell: 6.6086 6.6086 6.6087 Å, 90.17 90.17 90.17°
Positions (direct):
1 Na 0.4298 0.0702 0.7500
2 Na 0.0702 0.7500 0.4298
3 Na 0.7500 0.4298 0.0702
4 Na 0.9298 0.2500 0.5702
5 Na 0.2500 0.5702 0.9298
6 Na 0.5702 0.9298 0.2500
7 Os 0.5000 0.5000 0.5000
8 Os 0.0000 0.0000 0.0000
9 O 0.9387 0.7296 0.0523
10 O 0.7296 0.0523 0.9387
11 O 0.0523 0.9387 0.7296
12 O 0.4387 0.5523 0.2296
13 O 0.5523 0.2296 0.4387
14 O 0.2296 0.4387 0.5523
15 O 0.0613 0.2704 0.9477
16 O 0.2704 0.9477 0.0613
17 O 0.9477 0.0613 0.2704
18 O 0.5613 0.4477 0.7704
19 O 0.4477 0.7704 0.5613
20 O 0.7704 0.5613 0.4477

Summary:
Space-group type: No. 167
Mass density (g cm⁻³): 4.09
Crystal system: trigonal
ΔE to the lowest computed polymorph (eV per atom): 0.000
Size of the total moment (μB/f.u.): 1.052
Electronic total energy (eV per atom): -5.653

Density functional theory data (PBE-GGA) for a relaxed NaPa2OsO8 crystal.

Cell: 5.3761 5.3761 7.1189 Å, 90.00 90.00 120.00°
Positions (direct):
1 Na 0.0000 0.0000 0.5000
2 Pa 0.6667 0.3333 0.1348
3 Pa 0.3333 0.6667 0.8652
4 Os 0.0000 0.0000 0.0000
5 O 0.8239 0.6479 0.8548
6 O 0.3521 0.1761 0.8548
7 O 0.8239 0.1761 0.8548
8 O 0.1761 0.3521 0.1452
9 O 0.6479 0.8239 0.1452
10 O 0.1761 0.8239 0.1452
11 O 0.6667 0.3333 0.3962
12 O 0.3333 0.6667 0.6038

Summary:
Space-group type: No. 164
Mass density (g cm⁻³): 7.49
Crystal system: trigonal
Size of the total moment (μB/f.u.): 1.424
Electronic total energy (eV per atom): -8.135

Density functional theory data (PBE-GGA) for a relaxed Na2PaOsO6 crystal.

Cell: 4.2505 5.8317 5.8317 Å, 90.00 90.00 90.00°
Positions (direct):
1 Na 0.0702 0.5000 0.0000
2 Na 0.0702 0.0000 0.5000
3 Pa 0.6465 0.5000 0.5000
4 Os 0.6314 0.0000 0.0000
5 O 0.6721 0.2370 0.2370
6 O 0.6721 0.2370 0.7630
7 O 0.1510 0.5000 0.5000
8 O 0.1892 0.0000 0.0000
9 O 0.6721 0.7630 0.7630
10 O 0.6721 0.7630 0.2370

Summary:
Space-group type: No. 99
Mass density (g cm⁻³): 6.47
Crystal system: tetragonal
Size of the total moment (μB/f.u.): 2.872
Electronic total energy (eV per atom): -7.362

Density functional theory data (PBE-GGA) for a relaxed Na2PaOsO8 crystal.

Cell: 5.1447 5.1614 6.6035 Å, 90.00 90.00 92.69°
Positions (direct):
1 Na 0.5000 0.5000 0.7609
2 Na 0.5000 0.5000 0.2391
3 Pa 0.0000 0.0000 0.5000
4 Os 0.0000 0.0000 0.0000
5 O 0.1725 0.8280 0.2148
6 O 0.7456 0.7466 0.0000
7 O 0.8275 0.1720 0.2148
8 O 0.8275 0.1720 0.7852
9 O 0.2544 0.2534 0.0000
10 O 0.1725 0.8280 0.7852
11 O 0.7280 0.7288 0.5000
12 O 0.2720 0.2712 0.5000

Summary:
Space-group type: No. 10
Mass density (g cm⁻³): 5.64
Crystal system: monoclinic
Size of the total moment (μB/f.u.): 0.646
Electronic total energy (eV per atom): -7.017

Density functional theory data (PBE-GGA) for a relaxed Na3OsPb2O6 crystal.

Cell: 6.1690 6.1690 5.8546 Å, 99.35 99.35 121.58°
Positions (direct):
1 Na 0.1443 0.8557 0.5000
2 Na 0.8557 0.1443 0.5000
3 Na 0.5000 0.5000 0.5000
4 Os 0.0000 0.0000 0.0000
5 Pb 0.3320 0.6680 0.0000
6 Pb 0.6680 0.3320 0.0000
7 O 0.9266 0.6635 0.7813
8 O 0.7856 0.7856 0.2037
9 O 0.0734 0.3365 0.2187
10 O 0.6635 0.9266 0.7813
11 O 0.2144 0.2144 0.7963
12 O 0.3365 0.0734 0.2187

Summary:
Space-group type: No. 12
Mass density (g cm⁻³): 7.14
Crystal system: monoclinic
Size of the total moment (μB/f.u.): 3.015
Electronic total energy (eV per atom): -5.576

Density functional theory data (PBE-GGA) for a relaxed Na2OsPbO5 crystal.

Cell: 5.5470 6.8790 6.8790 Å, 90.00 90.00 90.00°
Positions (direct):
1 Na 0.5000 0.6841 0.1841
2 Na 0.5000 0.1841 0.3159
3 Na 0.5000 0.8159 0.6841
4 Na 0.5000 0.3159 0.8159
5 Os 0.0000 0.0000 0.5000
6 Os 0.0000 0.5000 0.0000
7 Pb 0.0000 0.5000 0.5000
8 Pb 0.0000 0.0000 0.0000
9 O 0.5000 0.5000 0.5000
10 O 0.5000 0.0000 0.0000
11 O 0.2307 0.1333 0.6333
12 O 0.2307 0.8667 0.3667
13 O 0.2307 0.3667 0.1333
14 O 0.2307 0.6333 0.8667
15 O 0.7693 0.1333 0.6333
16 O 0.7693 0.6333 0.8667
17 O 0.7693 0.8667 0.3667
18 O 0.7693 0.3667 0.1333

Summary:
Space-group type: No. 127
Mass density (g cm⁻³): 6.62
Crystal system: tetragonal
Size of the total moment (μB/f.u.): 0.000
Electronic total energy (eV per atom): -5.702

Density functional theory data (PBE-GGA) for a relaxed NaOsPb2O8 crystal.

Cell: 5.0744 4.9191 6.7751 Å, 90.00 90.00 90.81°
Positions (direct):
1 Na 0.0000 0.0000 0.5000
2 Os 0.0000 0.0000 0.0000
3 Pb 0.5000 0.5001 0.7433
4 Pb 0.5000 0.4999 0.2567
5 O 0.1619 0.7998 0.1967
6 O 0.6998 0.7383 0.0000
7 O 0.8381 0.2002 0.1968
8 O 0.8381 0.2002 0.8033
9 O 0.3002 0.2617 0.0000
10 O 0.1619 0.7998 0.8032
11 O 0.6718 0.7164 0.5000
12 O 0.3282 0.2836 0.5000

Summary:
Space-group type: No. 10
Mass density (g cm⁻³): 7.42
Crystal system: monoclinic
Size of the total moment (μB/f.u.): 0.000
Electronic total energy (eV per atom): -5.881

Density functional theory data (PBE-GGA) for a relaxed NaOsPb2O6 crystal.

Cell: 5.7214 6.0364 8.2494 Å, 90.00 88.93 90.00°
Positions (direct):
1 Na 0.5000 0.0000 0.0000
2 Na 0.0000 0.5000 0.5000
3 Os 0.5000 0.0000 0.5000
4 Os 0.0000 0.5000 0.0000
5 Pb 0.0103 0.9506 0.2619
6 Pb 0.5103 0.5494 0.7619
7 Pb 0.9897 0.0494 0.7381
8 Pb 0.4897 0.4506 0.2381
9 O 0.2786 0.6716 0.0378
10 O 0.7786 0.8284 0.5378
11 O 0.7214 0.3284 0.9622
12 O 0.2214 0.1716 0.4622
13 O 0.3349 0.7412 0.4345
14 O 0.8349 0.7588 0.9345
15 O 0.6651 0.2588 0.5655
16 O 0.1651 0.2412 0.0655
17 O 0.8979 0.5522 0.2205
18 O 0.3979 0.9478 0.7205
19 O 0.1021 0.4478 0.7795
20 O 0.6021 0.0522 0.2795

Summary:
Space-group type: No. 14
Mass density (g cm⁻³): 8.44
Crystal system: monoclinic
Size of the total moment (μB/f.u.): 0.890
Electronic total energy (eV per atom): -6.181

Density functional theory data (PBE-GGA) for a relaxed Na3OsPd3O8 crystal.

Cell: 6.8245 6.5490 6.7710 Å, 121.56 90.00 121.40°
Positions (direct):
1 Na 0.0000 0.0000 0.0000
2 Na 0.0000 0.5000 0.0000
3 Na 0.5000 0.5000 0.0000
4 Os 0.0000 0.0000 0.5000
5 Pd 0.5000 0.0000 0.5000
6 Pd 0.5000 0.5000 0.5000
7 Pd 0.0000 0.5000 0.5000
8 O 0.2684 0.5369 0.3373
9 O 0.7316 0.4631 0.6627
10 O 0.7991 0.5982 0.2528
11 O 0.2009 0.4018 0.7472
12 O 0.8006 0.0427 0.3241
13 O 0.1994 0.9573 0.6759
14 O 0.2421 0.0427 0.3241
15 O 0.7579 0.9573 0.6759

Summary:
Space-group type: No. 12
Mass density (g cm⁻³): 5.75
Crystal system: monoclinic
Size of the total moment (μB/f.u.): 0.900
Electronic total energy (eV per atom): -5.558

Computed values of formation energy (no corrections) (unit: eV/atom) for the preceding records, in sequence: -1.4012, -0.8845, -0.9953, -1.1599, -2.2008, -2.0506, -1.7645, -1.2131, -0.9948, -0.9121, -1.2097, -0.8625.